A plane-wave DFT calculation with GGA-PBEsol was carried out for a geometry-optimized RbTaMn2Fe structure.

DFT formation energy (eV/f.u.): 10.533

The structure in CIF format:
```
data_RbTaMn2Fe
_chemical_formula_sum 'Rb1 Ta1 Mn2 Fe1'
_space_group_name_H-M_alt 'P 4/m m m'
_space_group_IT_number 123
_space_group_name_Hall '-P 4 2'
_cell_length_a 4.459
_cell_length_b 4.459
_cell_length_c 4.672
_cell_angle_alpha 90.00
_cell_angle_beta 90.00
_cell_angle_gamma 90.00
loop_
_atom_site_label
_atom_site_fract_x
_atom_site_fract_y
_atom_site_fract_z
Rb1 0.000 0.000 0.000
Ta1 0.500 0.500 0.000
Mn1 0.000 0.500 0.500
Fe1 0.000 0.000 0.500
```

A plane-wave DFT calculation with GGA-PBEsol was carried out for a geometry-optimized CuAgPt2 structure.

DFT formation energy (eV/f.u.): -0.041

The structure in CIF format:
```
data_CuAgPt2
_chemical_formula_sum 'Cu1 Ag1 Pt2'
_space_group_name_H-M_alt 'P m m m'
_space_group_IT_number 47
_space_group_name_Hall '-P 2 2'
_cell_length_a 2.753
_cell_length_b 4.619
_cell_length_c 4.621
_cell_angle_alpha 90.00
_cell_angle_beta 90.00
_cell_angle_gamma 90.00
loop_
_atom_site_label
_atom_site_fract_x
_atom_site_fract_y
_atom_site_fract_z
Cu1 0.000 0.000 0.000
Ag1 0.500 0.500 0.000
Pt1 0.000 0.500 0.500
Pt2 0.500 0.000 0.500
```

A plane-wave DFT calculation with GGA-PBEsol was carried out for a geometry-optimized Sb7Pd20 structure.

Energy relative to the elements, uncorrected (eV/atom): -0.46

The structure in CIF format:
```
data_Sb7Pd20
_chemical_formula_sum 'Sb21 Pd60'
_space_group_name_H-M_alt 'R -3'
_space_group_IT_number 148
_space_group_name_Hall '-R 3'
_cell_length_a 11.7178
_cell_length_b 11.7178
_cell_length_c 10.9987
_cell_angle_alpha 90.00
_cell_angle_beta 90.00
_cell_angle_gamma 120.00
loop_
_atom_site_label
_atom_site_fract_x
_atom_site_fract_y
_atom_site_fract_z
Sb1 0.0000 0.0000 0.0000
Sb2 0.0388 0.2308 0.6864
Pd1 0.0000 0.0000 0.3767
Pd2 0.0258 0.2406 0.4495
Pd3 0.0367 0.1905 0.1889
Pd4 0.0467 0.2503 0.9404
```

A plane-wave DFT calculation with GGA-PBEsol was carried out for a geometry-optimized NbMo2F structure.

Energy relative to the elements, uncorrected (eV/atom): 0.50

The structure in CIF format:
```
data_NbMo2F
_chemical_formula_sum 'Nb4 Mo8 F4'
_space_group_name_H-M_alt 'F m -3 m'
_space_group_IT_number 225
_space_group_name_Hall '-F 4 2 3'
_cell_length_a 6.187
_cell_length_b 6.187
_cell_length_c 6.187
_cell_angle_alpha 90.00
_cell_angle_beta 90.00
_cell_angle_gamma 90.00
loop_
_atom_site_label
_atom_site_fract_x
_atom_site_fract_y
_atom_site_fract_z
Nb1 0.000 0.000 0.000
Mo1 0.250 0.250 0.250
F1 0.000 0.000 0.500
```

A plane-wave DFT calculation with GGA-PBEsol was carried out for a geometry-optimized TlAg3Te2 structure.

Energy relative to the elements, uncorrected (eV/atom): 0.12

The structure in CIF format:
```
data_TlAg3Te2
_chemical_formula_sum 'Tl2 Ag6 Te4'
_space_group_name_H-M_alt 'C m m m'
_space_group_IT_number 65
_space_group_name_Hall '-C 2 2'
_cell_length_a 3.992
_cell_length_b 16.314
_cell_length_c 4.222
_cell_angle_alpha 90.00
_cell_angle_beta 90.00
_cell_angle_gamma 90.00
loop_
_atom_site_label
_atom_site_fract_x
_atom_site_fract_y
_atom_site_fract_z
Tl1 0.000 0.000 0.000
Ag1 0.000 0.315 0.000
Ag2 0.000 0.500 0.500
Te1 0.000 0.153 0.500
```

A plane-wave DFT calculation with GGA-PBEsol was carried out for a geometry-optimized CaCr2Rh structure.

DFT formation energy (eV/f.u.): 2.907

The structure in CIF format:
```
data_CaCr2Rh
_chemical_formula_sum 'Ca4 Cr8 Rh4'
_space_group_name_H-M_alt 'F m -3 m'
_space_group_IT_number 225
_space_group_name_Hall '-F 4 2 3'
_cell_length_a 6.429
_cell_length_b 6.429
_cell_length_c 6.429
_cell_angle_alpha 90.00
_cell_angle_beta 90.00
_cell_angle_gamma 90.00
loop_
_atom_site_label
_atom_site_fract_x
_atom_site_fract_y
_atom_site_fract_z
Ca1 0.000 0.000 0.000
Cr1 0.250 0.250 0.250
Rh1 0.000 0.000 0.500
```

A plane-wave DFT calculation with GGA-PBEsol was carried out for a geometry-optimized IrRu2Rh structure.

DFT formation energy (eV/f.u.): 0.045

The structure in CIF format:
```
data_IrRu2Rh
_chemical_formula_sum 'Ir1 Ru2 Rh1'
_space_group_name_H-M_alt 'P m m m'
_space_group_IT_number 47
_space_group_name_Hall '-P 2 2'
_cell_length_a 2.667
_cell_length_b 3.796
_cell_length_c 5.339
_cell_angle_alpha 90.00
_cell_angle_beta 90.00
_cell_angle_gamma 90.00
loop_
_atom_site_label
_atom_site_fract_x
_atom_site_fract_y
_atom_site_fract_z
Ir1 0.000 0.000 0.000
Ru1 0.500 0.500 0.250
Rh1 0.000 0.000 0.500
```

A plane-wave DFT calculation with GGA-PBEsol was carried out for a geometry-optimized Ga2SnSe structure.

Energy relative to the elements, uncorrected (eV/atom): -0.20

The structure in CIF format:
```
data_Ga2SnSe
_chemical_formula_sum 'Ga8 Sn4 Se4'
_space_group_name_H-M_alt 'I -4 2 d'
_space_group_IT_number 122
_space_group_name_Hall 'I -4 2bw'
_cell_length_a 5.946
_cell_length_b 5.946
_cell_length_c 11.997
_cell_angle_alpha 90.00
_cell_angle_beta 90.00
_cell_angle_gamma 90.00
loop_
_atom_site_label
_atom_site_fract_x
_atom_site_fract_y
_atom_site_fract_z
Ga1 0.244 0.250 0.125
Sn1 0.000 0.000 0.500
Se1 0.000 0.000 0.000
```

Please write out number 3 again, unchanged.
A plane-wave DFT calculation with GGA-PBEsol was carried out for a geometry-optimized Sb7Pd20 structure.

Energy relative to the elements, uncorrected (eV/atom): -0.46

The structure in CIF format:
```
data_Sb7Pd20
_chemical_formula_sum 'Sb21 Pd60'
_space_group_name_H-M_alt 'R -3'
_space_group_IT_number 148
_space_group_name_Hall '-R 3'
_cell_length_a 11.7178
_cell_length_b 11.7178
_cell_length_c 10.9987
_cell_angle_alpha 90.00
_cell_angle_beta 90.00
_cell_angle_gamma 120.00
loop_
_atom_site_label
_atom_site_fract_x
_atom_site_fract_y
_atom_site_fract_z
Sb1 0.0000 0.0000 0.0000
Sb2 0.0388 0.2308 0.6864
Pd1 0.0000 0.0000 0.3767
Pd2 0.0258 0.2406 0.4495
Pd3 0.0367 0.1905 0.1889
Pd4 0.0467 0.2503 0.9404
```